# 1
The following is a PBE calculation of a relaxed SrLa2Au crystal, from Alexandria.

Cell and atoms, written as POSCAR:
```
SrLa2Au
1.0
-1.052 -1.027 3.622
3.752 -0.572 0.936
0.709 9.301 2.844
Au La Sr
1 2 1
direct
0.500 0.500 0.750 Au
0.000 0.000 0.582 La
0.000 0.000 0.918 La
0.500 0.500 0.250 Sr
```

Values from the calculation:
Relative energy among the computed polymorphs: 0.047 eV per atom
Theoretical density: 6.27 Mg/m³
DOS(E_F): 1.524 states/eV/atom
Energy relative to the elements: -308.2 meV per atom
Space group: No. 65
Total energy: -4.012 eV/atom


# 2
The following is a PBE calculation of a relaxed SrLa2Au crystal, from Alexandria.

Cell and atoms, written as POSCAR:
```
SrLa2Au
1.0
7.218 0.015 0.021
3.932 6.053 -0.021
-4.912 -4.252 3.145
La Au Sr
2 1 1
direct
0.450 0.450 0.000 La
0.050 0.050 0.000 La
0.250 0.750 0.500 Au
0.750 0.250 0.500 Sr
```

Values from the calculation:
Relative energy among the computed polymorphs: 0.022 eV per atom
Theoretical density: 6.82 Mg/m³
DOS(E_F): 1.284 states/eV/atom
Energy relative to the elements: -333.8 meV per atom
Space group: No. 71
Total energy: -4.037 eV/atom


# 3
The following is a PBE calculation of a relaxed SrLa3Au4 crystal, from Alexandria.

Cell and atoms, written as POSCAR:
```
SrLa3Au4
1.0
-5.314 -0.821 0.218
0.673 -2.474 7.101
-1.402 10.034 3.630
Au La Sr
8 6 2
direct
0.500 0.760 0.000 Au
0.500 0.240 0.500 Au
0.500 0.760 0.500 Au
0.001 0.761 0.250 Au
0.500 0.240 0.000 Au
0.001 0.239 0.250 Au
0.999 0.761 0.750 Au
0.999 0.239 0.750 Au
0.500 0.500 0.250 La
0.500 0.000 0.750 La
0.500 0.000 0.250 La
0.000 0.000 0.000 La
0.500 0.500 0.750 La
0.000 0.000 0.500 La
0.000 0.500 0.500 Sr
0.000 0.500 0.000 Sr
```

Values from the calculation:
Theoretical density: 9.82 Mg/m³
DOS(E_F): 0.656 states/eV/atom
Energy relative to the elements: -776.0 meV per atom
Space group: No. 123
Total energy: -4.473 eV/atom


# 4
The following is a PBE calculation of a relaxed SrLaAu4 crystal, from Alexandria.

Cell and atoms, written as POSCAR:
```
SrLaAu4
1.0
-3.949 -1.085 2.309
-4.147 -2.813 -3.620
0.443 -5.372 3.027
Au Sr La
4 1 1
direct
0.271 0.065 0.394 Au
0.729 0.935 0.606 Au
0.729 0.606 0.935 Au
0.271 0.394 0.065 Au
0.500 0.500 0.500 Sr
0.000 0.000 0.000 La
```

Values from the calculation:
Relative energy among the computed polymorphs: 0.000 eV per atom
Theoretical density: 11.02 Mg/m³
DOS(E_F): 0.686 states/eV/atom
Energy relative to the elements: -766.8 meV per atom
Space group: No. 71
Total energy: -4.053 eV/atom


# 5
The following is a PBE calculation of a relaxed Sr2LaAu4 crystal, from Alexandria.

Cell and atoms, written as POSCAR:
```
Sr2LaAu4
1.0
5.226 0.000 -1.666
-0.531 5.199 -1.666
-0.362 -0.400 7.896
Au La Sr
4 1 2
direct
0.391 0.891 0.782 Au
0.609 0.109 0.218 Au
0.109 0.609 0.218 Au
0.891 0.391 0.782 Au
0.000 0.000 0.000 La
0.720 0.720 0.441 Sr
0.280 0.280 0.559 Sr
```

Values from the calculation:
Theoretical density: 8.82 Mg/m³
DOS(E_F): 0.703 states/eV/atom
Energy relative to the elements: -629.0 meV per atom
Space group: No. 139
Total energy: -3.686 eV/atom


# 6
The following is a PBE calculation of a relaxed SrLa2Au4 crystal, from Alexandria.

Cell and atoms, written as POSCAR:
```
SrLa2Au4
1.0
4.879 0.000 1.524
2.201 4.354 1.524
-0.443 -0.272 9.988
La Sr Au
2 1 4
direct
0.218 0.218 0.345 La
0.782 0.782 0.655 La
0.000 0.000 0.000 Sr
0.402 0.402 0.794 Au
0.598 0.598 0.206 Au
0.891 0.891 0.328 Au
0.109 0.109 0.672 Au
```

Values from the calculation:
Theoretical density: 8.86 Mg/m³
DOS(E_F): 0.848 states/eV/atom
Energy relative to the elements: -677.9 meV per atom
Space group: No. 166
Total energy: -4.199 eV/atom


# 7
The following is a PBE calculation of a relaxed SrLa3Au crystal, from Alexandria.

Cell and atoms, written as POSCAR:
```
SrLa3Au
1.0
-3.511 -3.719 3.084
4.827 -2.548 2.423
-0.193 3.918 4.503
La Sr Au
3 1 1
direct
0.000 0.500 0.000 La
0.000 0.000 0.500 La
0.500 0.000 0.000 La
0.500 0.500 0.500 Sr
0.000 0.000 0.000 Au
```

Values from the calculation:
Relative energy among the computed polymorphs: 0.000 eV per atom
Theoretical density: 5.47 Mg/m³
DOS(E_F): 1.732 states/eV/atom
Energy relative to the elements: -108.2 meV per atom
Space group: No. 221
Total energy: -4.056 eV/atom


# 8
The following is a PBE calculation of a relaxed SrLa2Au crystal, from Alexandria.

Cell and atoms, written as POSCAR:
```
SrLa2Au
1.0
3.935 0.000 0.000
0.000 5.563 0.000
0.000 0.000 5.847
Sr Au La
1 1 2
direct
0.500 0.000 0.500 Sr
0.000 0.500 0.500 Au
0.500 0.500 0.000 La
0.000 0.000 0.000 La
```

Values from the calculation:
Relative energy among the computed polymorphs: 0.220 eV per atom
Theoretical density: 7.30 Mg/m³
DOS(E_F): 1.093 states/eV/atom
Energy relative to the elements: -135.0 meV per atom
Space group: No. 47
Total energy: -3.838 eV/atom


# 9
The following is a PBE calculation of a relaxed SrLa2Au3 crystal, from Alexandria.

Cell and atoms, written as POSCAR:
```
SrLa2Au3
1.0
3.797 0.000 0.000
0.000 3.797 0.000
0.000 0.000 11.514
La Au Sr
2 3 1
direct
0.500 0.500 0.166 La
0.500 0.500 0.834 La
0.000 0.000 0.000 Au
0.000 0.000 0.316 Au
0.000 0.000 0.684 Au
0.500 0.500 0.500 Sr
```

Values from the calculation:
Relative energy among the computed polymorphs: 0.000 eV per atom
Theoretical density: 9.57 Mg/m³
DOS(E_F): 0.703 states/eV/atom
Energy relative to the elements: -779.6 meV per atom
Space group: No. 123
Total energy: -4.341 eV/atom


# 10
The following is a PBE calculation of a relaxed Sr2La2Au crystal, from Alexandria.

Cell and atoms, written as POSCAR:
```
Sr2La2Au
1.0
-5.806 -2.824 -4.554
-0.346 -6.503 4.474
-4.313 2.813 3.754
La Sr Au
4 4 2
direct
0.148 0.352 0.000 La
0.352 0.852 0.000 La
0.852 0.648 0.000 La
0.648 0.148 0.000 La
0.171 0.671 0.500 Sr
0.829 0.329 0.500 Sr
0.329 0.171 0.500 Sr
0.671 0.829 0.500 Sr
0.500 0.500 0.000 Au
0.000 0.000 0.000 Au
```

Values from the calculation:
Theoretical density: 5.43 Mg/m³
DOS(E_F): 1.421 states/eV/atom
Energy relative to the elements: -94.2 meV per atom
Space group: No. 127
Total energy: -3.393 eV/atom


# 11
The following is a PBE calculation of a relaxed SrLa2Au crystal, from Alexandria.

Cell and atoms, written as POSCAR:
```
SrLa2Au
1.0
-0.158 5.602 -0.551
-4.785 -0.131 0.047
0.034 0.469 4.764
La Sr Au
2 1 1
direct
0.000 0.500 0.500 La
0.000 0.000 0.000 La
0.500 0.500 0.000 Sr
0.500 0.000 0.500 Au
```

Values from the calculation:
Relative energy among the computed polymorphs: 0.223 eV per atom
Theoretical density: 7.24 Mg/m³
DOS(E_F): 1.333 states/eV/atom
Energy relative to the elements: -132.4 meV per atom
Space group: No. 123
Total energy: -3.836 eV/atom


# 12
The following is a PBE calculation of a relaxed SrLa2Au crystal, from Alexandria.

Cell and atoms, written as POSCAR:
```
SrLa2Au
1.0
-1.009 0.051 3.699
-2.599 -2.748 -0.671
3.859 -9.295 1.180
Au La Sr
1 2 1
direct
0.500 0.729 0.771 Au
0.000 0.048 0.951 La
0.500 0.281 0.220 La
0.000 0.443 0.558 Sr
```

Values from the calculation:
Relative energy among the computed polymorphs: 0.006 eV per atom
Theoretical density: 6.76 Mg/m³
DOS(E_F): 1.483 states/eV/atom
Energy relative to the elements: -349.6 meV per atom
Space group: No. 6
Total energy: -4.053 eV/atom


# 13
The following is a PBE calculation of a relaxed SrLaAu3 crystal, from Alexandria.

Cell and atoms, written as POSCAR:
```
SrLaAu3
1.0
5.486 0.000 0.000
0.000 5.486 0.000
0.000 0.000 5.486
Sr La Au
1 1 3
direct
0.000 0.000 0.000 Sr
0.500 0.500 0.500 La
0.000 0.000 0.500 Au
0.000 0.500 0.000 Au
0.500 0.000 0.000 Au
```

Values from the calculation:
Relative energy among the computed polymorphs: 0.806 eV per atom
Theoretical density: 8.22 Mg/m³
DOS(E_F): 0.927 states/eV/atom
Energy relative to the elements: 19.7 meV per atom
Space group: No. 221
Total energy: -3.269 eV/atom


# 14
The following is a PBE calculation of a relaxed SrLa2Au crystal, from Alexandria.

Cell and atoms, written as POSCAR:
```
SrLa2Au
1.0
5.580 0.000 0.000
2.790 4.833 0.000
2.790 1.611 4.556
La Sr Au
2 1 1
direct
0.000 0.000 0.000 La
0.250 0.250 0.250 La
0.750 0.750 0.750 Sr
0.500 0.500 0.500 Au
```

Values from the calculation:
Relative energy among the computed polymorphs: 0.331 eV per atom
Theoretical density: 7.60 Mg/m³
DOS(E_F): 1.864 states/eV/atom
Energy relative to the elements: -24.0 meV per atom
Space group: No. 216
Total energy: -3.728 eV/atom


# 15
The following is a PBE calculation of a relaxed Sr3LaAu4 crystal, from Alexandria.

Cell and atoms, written as POSCAR:
```
Sr3LaAu4
1.0
-1.112 6.118 2.230
-4.627 -1.603 -4.434
-0.218 -4.257 5.047
Au Sr La
4 3 1
direct
0.500 0.500 0.500 Au
0.500 0.000 0.000 Au
0.000 0.500 0.000 Au
0.000 0.000 0.500 Au
0.500 0.500 0.000 Sr
0.000 0.500 0.500 Sr
0.500 0.000 0.500 Sr
0.000 0.000 0.000 La
```

Values from the calculation:
Theoretical density: 8.90 Mg/m³
DOS(E_F): 0.553 states/eV/atom
Energy relative to the elements: -739.3 meV per atom
Space group: No. 229
Total energy: -3.625 eV/atom


# 16
The following is a PBE calculation of a relaxed SrLa3Au crystal, from Alexandria.

Cell and atoms, written as POSCAR:
```
SrLa3Au
1.0
5.824 0.000 0.000
0.000 5.824 0.000
0.000 0.000 5.824
La Au Sr
3 1 1
direct
0.500 0.000 0.000 La
0.000 0.000 0.500 La
0.000 0.500 0.000 La
0.500 0.500 0.500 Au
0.000 0.000 0.000 Sr
```

Values from the calculation:
Relative energy among the computed polymorphs: 1.060 eV per atom
Theoretical density: 5.90 Mg/m³
DOS(E_F): 1.148 states/eV/atom
Energy relative to the elements: 951.6 meV per atom
Space group: No. 221
Total energy: -2.997 eV/atom


# 17
The following is a PBE calculation of a relaxed SrLa2Au crystal, from Alexandria.

Cell and atoms, written as POSCAR:
```
SrLa2Au
1.0
5.825 -0.001 -0.004
-2.716 6.279 -0.008
0.393 1.098 3.537
Au La Sr
1 2 1
direct
0.500 0.500 0.000 Au
0.000 0.000 0.000 La
0.500 0.000 0.500 La
0.000 0.500 0.500 Sr
```

Values from the calculation:
Relative energy among the computed polymorphs: 0.276 eV per atom
Theoretical density: 7.22 Mg/m³
DOS(E_F): 1.068 states/eV/atom
Energy relative to the elements: -79.5 meV per atom
Space group: No. 12
Total energy: -3.783 eV/atom


# 18
The following is a PBE calculation of a relaxed SrLaAu3 crystal, from Alexandria.

Cell and atoms, written as POSCAR:
```
SrLaAu3
1.0
-3.383 1.150 1.880
-1.757 -4.286 -0.540
7.435 -4.537 11.817
Au Sr La
6 2 2
direct
0.474 0.250 0.948 Au
0.686 0.250 0.372 Au
0.526 0.750 0.052 Au
0.621 0.750 0.242 Au
0.379 0.250 0.758 Au
0.314 0.750 0.628 Au
0.072 0.250 0.143 Sr
0.928 0.750 0.857 Sr
0.202 0.750 0.404 La
0.798 0.250 0.596 La
```

Values from the calculation:
Relative energy among the computed polymorphs: 0.000 eV per atom
Theoretical density: 9.92 Mg/m³
DOS(E_F): 0.513 states/eV/atom
Energy relative to the elements: -786.5 meV per atom
Space group: No. 63
Total energy: -4.075 eV/atom


# 19
The following is a PBE calculation of a relaxed Sr2LaAu3 crystal, from Alexandria.

Cell and atoms, written as POSCAR:
```
Sr2LaAu3
1.0
-1.217 -2.462 4.651
7.301 -2.381 3.786
0.305 6.730 3.644
Au La Sr
6 2 4
direct
0.174 0.652 0.225 Au
0.499 0.000 0.242 Au
0.826 0.348 0.775 Au
0.826 0.348 0.225 Au
0.174 0.652 0.775 Au
0.501 0.000 0.758 Au
0.337 0.326 0.000 La
0.663 0.674 0.000 La
0.333 0.334 0.500 Sr
0.000 0.000 0.000 Sr
0.000 0.000 0.500 Sr
0.667 0.666 0.500 Sr
```

Values from the calculation:
Theoretical density: 8.94 Mg/m³
DOS(E_F): 0.713 states/eV/atom
Energy relative to the elements: -764.6 meV per atom
Space group: No. 65
Total energy: -3.785 eV/atom


# 20
The following is a PBE calculation of a relaxed SrLa3Au2 crystal, from Alexandria.

Cell and atoms, written as POSCAR:
```
SrLa3Au2
1.0
5.186 0.000 0.000
0.000 7.791 0.000
0.000 0.000 9.390
Au La Sr
4 6 2
direct
0.500 0.756 0.847 Au
0.000 0.242 0.651 Au
0.500 0.256 0.153 Au
0.000 0.742 0.349 Au
0.500 0.651 0.158 La
0.000 0.989 0.082 La
0.000 0.489 0.918 La
0.000 0.851 0.675 La
0.500 0.151 0.842 La
0.000 0.351 0.325 La
0.500 0.512 0.572 Sr
0.500 0.012 0.428 Sr
```

Values from the calculation:
Theoretical density: 7.86 Mg/m³
DOS(E_F): 1.208 states/eV/atom
Energy relative to the elements: -538.0 meV per atom
Space group: No. 26
Total energy: -4.374 eV/atom